[1]
Entry from Alexandria via LeMat-Bulk: a relaxed structure of LiCa2Ta (PBE-GGA).

a = 5.557 Å, b = 5.557 Å, c = 6.459 Å
α = 82.75°, β = 82.75°, γ = 32.10°
Last column: magnetic moment on the atom in μB.
Atoms (fractional coordinates):
Ca1 0.502 0.502 0.486  0.01
Ca2 0.998 0.998 0.014  0.01
Ta1 0.250 0.250 0.250  0.26
Li1 0.750 0.750 0.750  0.00

Volume, A^3/atom: 26.265
ΔE to the lowest computed polymorph, meV/atom: 238
Calculated formation energy, eV per atom: 0.728

=====

[2]
Entry from Alexandria via LeMat-Bulk: a relaxed structure of MnIrOs2 (PBE-GGA).

a = 4.292 Å, b = 4.292 Å, c = 4.292 Å
α = 60.00°, β = 60.00°, γ = 60.00°
Atoms (fractional coordinates):
Mn1 0.000 0.000 0.000
Os1 0.750 0.750 0.750
Os2 0.250 0.250 0.250
Ir1 0.500 0.500 0.500

Volume, A^3/atom: 13.978
ΔE to the lowest computed polymorph, meV/atom: 630
Calculated formation energy, eV per atom: 0.627

=====

[3]
Entry from Alexandria via LeMat-Bulk: a relaxed structure of CoHSeBr (PBE-GGA).

a = 3.193 Å, b = 3.410 Å, c = 13.976 Å
α = 90.00°, β = 102.97°, γ = 90.00°
Atoms (fractional coordinates):
H1 0.818 0.000 0.358
H2 0.818 0.500 0.858
Br1 0.180 0.000 0.718
Br2 0.180 0.500 0.218
Se1 0.413 0.000 0.954
Se2 0.413 0.500 0.454
Co1 0.303 0.500 0.842
Co2 0.303 0.000 0.342

Volume, A^3/atom: 18.535
ΔE to the lowest computed polymorph, meV/atom: 43

=====

[4]
Entry from Alexandria via LeMat-Bulk: a relaxed structure of PdPbSe2 (PBE-GGA).

a = 6.102 Å, b = 6.102 Å, c = 7.704 Å
α = 66.67°, β = 66.67°, γ = 90.00°
Atoms (fractional coordinates):
Se1 0.184 0.625 0.250
Se2 0.375 0.434 0.750
Se3 0.875 0.816 0.750
Se4 0.566 0.125 0.250
Pb1 0.000 0.000 0.000
Pb2 0.750 0.250 0.500
Pd1 0.250 0.750 0.500
Pd2 0.500 0.500 0.000

Volume, A^3/atom: 29.704
Formation energy (no corrections), eV/atom: -0.200

=====

[5]
Entry from Alexandria via LeMat-Bulk: a relaxed structure of Ni2OsPb (PBE-GGA).

a = 3.956 Å, b = 3.953 Å, c = 3.776 Å
α = 90.00°, β = 90.00°, γ = 90.00°
Last column: magnetic moment on the atom in μB.
Atoms (fractional coordinates):
Pb1 0.000 0.500 0.500  -0.01
Ni1 0.500 0.500 0.000  0.15
Ni2 0.000 0.000 0.000  0.15
Os1 0.500 0.000 0.500  0.11

Volume, A^3/atom: 14.762
Calculated formation energy, eV per atom: 0.532

=====

[6]
Entry from Alexandria via LeMat-Bulk: a relaxed structure of Si2Mo2Ru (PBE-GGA).

a = 6.090 Å, b = 6.090 Å, c = 3.835 Å
α = 90.00°, β = 90.00°, γ = 90.00°
Atoms (fractional coordinates):
Si1 0.636 0.136 0.000
Si2 0.864 0.636 0.000
Si3 0.364 0.864 0.000
Si4 0.136 0.364 0.000
Mo1 0.833 0.333 0.500
Mo2 0.333 0.167 0.500
Mo3 0.667 0.833 0.500
Mo4 0.167 0.667 0.500
Ru1 0.500 0.500 0.000
Ru2 0.000 0.000 0.000

Volume, A^3/atom: 14.225
Formation energy (no corrections), eV/atom: -0.333

=====

[7]
Entry from Alexandria via LeMat-Bulk: a relaxed structure of Ho2AgH (PBE-GGA).

a = 3.613 Å, b = 3.613 Å, c = 7.548 Å
α = 76.15°, β = 76.15°, γ = 60.00°
Atoms (fractional coordinates):
Ag1 0.500 0.500 0.500
H1 0.000 0.000 0.000
Ho1 0.271 0.271 0.187
Ho2 0.729 0.729 0.813

Volume, A^3/atom: 20.503
Electronic total energy, eV per atom: -4.02

=====

[8]
Entry from Alexandria via LeMat-Bulk: a relaxed structure of Ni5Rh4 (PBE-GGA).

a = 2.654 Å, b = 6.886 Å, c = 6.515 Å
α = 81.72°, β = 78.25°, γ = 78.89°
Last column: magnetic moment on the atom in μB.
Atoms (fractional coordinates):
Rh1 0.961 0.748 0.330  0.42
Rh2 0.363 0.598 0.676  0.42
Rh3 0.039 0.252 0.670  0.42
Rh4 0.637 0.402 0.324  0.42
Ni1 0.337 0.327 0.999  0.69
Ni2 0.700 0.927 0.673  0.65
Ni3 0.300 0.073 0.327  0.65
Ni4 0.663 0.673 0.001  0.69
Ni5 0.000 0.000 0.000  0.79

Volume, A^3/atom: 12.635
ΔE to the lowest computed polymorph, meV/atom: 30
Calculated formation energy, eV per atom: 0.071

=====

[9]
Entry from Alexandria via LeMat-Bulk: a relaxed structure of LaPm12Nd2 (PBE-GGA).

a = 6.838 Å, b = 6.838 Å, c = 25.599 Å
α = 83.62°, β = 96.38°, γ = 64.10°
Atoms (fractional coordinates):
Pm1 0.556 0.444 0.073
Pm2 0.103 0.397 0.137
Pm3 0.100 0.901 0.799
Pm4 0.603 0.897 0.138
Pm5 0.400 0.599 0.201
Pm6 0.166 0.829 0.556
Pm7 0.503 0.497 0.671
Pm8 0.829 0.166 0.444
Pm9 0.897 0.603 0.862
Pm10 0.184 0.316 0.574
Pm11 0.397 0.103 0.863
Pm12 0.997 0.003 0.329
Pm13 0.316 0.184 0.426
Pm14 0.901 0.100 0.201
Pm15 0.822 0.678 0.427
Pm16 0.334 0.671 0.444
Pm17 0.678 0.822 0.573
Pm18 0.056 0.944 0.073
Pm19 0.444 0.556 0.927
Pm20 0.497 0.503 0.329
Pm21 0.599 0.400 0.799
Pm22 0.003 0.997 0.671
Pm23 0.944 0.056 0.927
Pm24 0.671 0.334 0.556
La1 0.001 0.499 0.000
La2 0.499 0.001 0.000
Nd1 0.046 0.454 0.726
Nd2 0.454 0.046 0.274
Nd3 0.954 0.546 0.273
Nd4 0.546 0.954 0.727

Volume, A^3/atom: 35.090
Calculated formation energy, eV per atom: 0.098

=====

[10]
Entry from Alexandria via LeMat-Bulk: a relaxed structure of CaTh2Ga (PBE-GGA).

a = 3.462 Å, b = 3.462 Å, c = 12.078 Å
α = 81.76°, β = 81.76°, γ = 60.00°
Atoms (fractional coordinates):
Th1 0.903 0.903 0.292
Th2 0.097 0.097 0.708
Ga1 0.500 0.500 0.500
Ca1 0.000 0.000 0.000

Volume, A^3/atom: 30.904
Calculated formation energy, eV per atom: 0.114